No. 1
DFT (PBE) results for NaCaOF2 after structural relaxation.

Structure (POSCAR):
```
NaCaOF2
1.0
4.066 0.000 0.000
0.000 4.066 0.000
0.000 0.000 4.243
Na Ca O F
1 1 1 2
direct
0.000 0.000 0.000
0.500 0.500 0.500
0.000 0.000 0.500
0.000 0.500 0.000
0.500 0.000 0.000
```

- SG: P4/mmm, No. 123
- V: 70 Å³/f.u.
- Distance to the lowest polymorph of the same formula: 0.231 eV per atom
- Electronic total energy: -22.91 eV/f.u.
- Uncorrected formation energy: -2.178 eV/atom


No. 2
DFT (PBE) results for Na2CaPO4F after structural relaxation.

Structure (POSCAR):
```
Na2CaPO4F
1.0
6.208 -3.542 0.000
6.208 3.542 0.000
-4.351 0.000 13.642
Na Ca P O F
10 5 5 20 5
direct
0.033 0.543 0.800
0.123 0.631 0.607
0.235 0.765 0.000
0.402 0.898 0.412
0.489 0.989 0.211
0.543 0.033 0.800
0.631 0.123 0.607
0.765 0.235 0.000
0.898 0.402 0.412
0.989 0.489 0.211
0.024 0.024 0.812
0.500 0.500 0.203
0.644 0.644 0.606
0.771 0.771 0.003
0.877 0.877 0.407
0.121 0.121 0.597
0.252 0.252 0.989
0.395 0.395 0.396
0.531 0.531 0.794
0.990 0.990 0.210
0.015 0.376 0.628
0.025 0.025 0.645
0.070 0.070 0.482
0.133 0.133 0.003
0.144 0.498 0.040
0.165 0.524 0.429
0.233 0.233 0.876
0.243 0.879 0.246
0.303 0.663 0.829
0.364 0.364 0.281
0.376 0.015 0.628
0.498 0.144 0.040
0.499 0.499 0.679
0.524 0.165 0.429
0.526 0.526 0.441
0.663 0.303 0.829
0.663 0.663 0.837
0.879 0.243 0.246
0.883 0.883 0.245
0.955 0.955 0.097
0.613 0.613 0.082
0.688 0.688 0.301
0.765 0.765 0.509
0.832 0.832 0.709
0.891 0.891 0.904
```

- SG: Cm, No. 8
- V: 120 Å³/f.u.
- Distance to the lowest polymorph of the same formula: 0.025 eV per atom
- Electronic total energy: -55.60 eV/f.u.
- Uncorrected formation energy: -2.650 eV/atom


No. 3
DFT (PBE) results for Na2CaPO4F after structural relaxation.

Structure (POSCAR):
```
Na2CaPO4F
1.0
13.439 0.000 0.000
0.000 7.161 0.000
-4.320 0.000 9.899
Na Ca P O F
16 8 8 32 8
direct
0.087 0.225 0.177
0.087 0.275 0.677
0.169 0.020 0.932
0.169 0.480 0.432
0.337 0.021 0.793
0.337 0.479 0.293
0.411 0.249 0.087
0.411 0.251 0.587
0.589 0.749 0.413
0.589 0.751 0.913
0.663 0.521 0.707
0.663 0.979 0.207
0.831 0.520 0.568
0.831 0.980 0.068
0.913 0.725 0.323
0.913 0.775 0.823
0.169 0.012 0.473
0.169 0.488 0.973
0.326 0.007 0.275
0.326 0.493 0.775
0.674 0.507 0.225
0.674 0.993 0.725
0.831 0.512 0.027
0.831 0.988 0.527
0.087 0.740 0.147
0.087 0.760 0.647
0.416 0.743 0.063
0.416 0.757 0.563
0.584 0.243 0.437
0.584 0.257 0.937
0.913 0.240 0.353
0.913 0.260 0.853
0.031 0.230 0.363
0.031 0.270 0.863
0.087 0.725 0.503
0.087 0.775 0.003
0.146 0.549 0.196
0.146 0.951 0.696
0.150 0.601 0.746
0.150 0.899 0.246
0.352 0.570 0.080
0.352 0.930 0.580
0.361 0.575 0.583
0.361 0.925 0.083
0.415 0.742 0.917
0.415 0.758 0.417
0.465 0.233 0.331
0.465 0.267 0.831
0.535 0.733 0.169
0.535 0.767 0.669
0.585 0.242 0.583
0.585 0.258 0.083
0.639 0.075 0.917
0.639 0.425 0.417
0.648 0.070 0.420
0.648 0.430 0.920
0.850 0.101 0.754
0.850 0.399 0.254
0.854 0.049 0.304
0.854 0.451 0.804
0.913 0.225 0.997
0.913 0.275 0.497
0.969 0.730 0.137
0.969 0.770 0.637
0.234 0.229 0.115
0.234 0.271 0.615
0.260 0.224 0.380
0.260 0.276 0.880
0.740 0.724 0.120
0.740 0.776 0.620
0.766 0.729 0.385
0.766 0.771 0.885
```

- SG: P2_1/c, No. 14
- V: 119 Å³/f.u.
- Distance to the lowest polymorph of the same formula: 0.000 eV per atom
- Electronic total energy: -55.83 eV/f.u.
- Uncorrected formation energy: -2.675 eV/atom